Record 1
A plane-wave DFT calculation with PBE was carried out for Cr2AgBiPt after structural relaxation.

a b c (Å): 4.8728 4.8728 5.1102
angles (deg): 90.00 90.00 90.00
Last column: magnetic moment on the atom in μB.
Element x y z (fractional)
1 Cr 0.0000 0.5000 0.0000  3.65
2 Pt 0.0000 0.0000 0.0000  0.05
3 Ag 0.0000 0.0000 0.5000  0.01
4 Cr 0.5000 0.0000 0.0000  3.65
5 Bi 0.5000 0.5000 0.5000  -0.31

DOS(E_F) ... 1.1258 states/eV/atom
Total magnetization ... 7.81 μB per formula unit
Total energy ... -5.65 eV/atom

Record 2
A plane-wave DFT calculation with PBE was carried out for LiNiSe2N after structural relaxation.

a b c (Å): 4.6630 4.6630 3.3659
angles (deg): 90.00 90.00 90.00
Element x y z (fractional)
1 Se 0.5000 0.0000 0.0000
2 Li 0.0000 0.0000 0.0000
3 N 0.0000 0.0000 0.5000
4 Se 0.0000 0.5000 0.0000
5 Ni 0.5000 0.5000 0.5000

DOS(E_F) ... 0.9723 states/eV/atom
Total magnetization ... 0.06 μB per formula unit
ΔE_f (raw) ... 1.060 eV/atom
ΔE to the lowest computed polymorph ... 893 meV/atom

Record 3
A plane-wave DFT calculation with PBE was carried out for KCaY2 after structural relaxation.

a b c (Å): 5.9945 5.1294 5.1294
angles (deg): 90.00 90.00 90.00
Last column: magnetic moment on the atom in μB.
Element x y z (fractional)
1 Y 0.0000 0.0000 0.0000  0.23
2 Ca 0.5000 0.5000 0.0000  0.02
3 Y 0.0000 0.5000 0.5000  0.23
4 K 0.5000 0.0000 0.5000  0.00

DOS(E_F) ... 1.6746 states/eV/atom
Total magnetization ... 0.98 μB per formula unit
ΔE to the lowest computed polymorph ... 298 meV/atom

Record 4
A plane-wave DFT calculation with PBE was carried out for Dy2Ru3Rh after structural relaxation.

a b c (Å): 5.2356 5.2356 5.4471
angles (deg): 90.01 118.76 119.95
Element x y z (fractional)
1 Rh 0.0000 0.0000 0.0000
2 Ru 0.5000 0.5000 0.5000
3 Ru 0.5000 0.0000 0.5000
4 Ru 0.0000 0.0000 0.5000
5 Dy 0.7559 0.3779 0.1337
6 Dy 0.2441 0.6221 0.8663

DOS(E_F) ... 0.9524 states/eV/atom
Total magnetization ... 0.00 μB per formula unit
Total energy ... -7.82 eV/atom

Record 5
A plane-wave DFT calculation with PBE was carried out for Pu2HgPt after structural relaxation.

a b c (Å): 3.4826 3.4826 7.9169
angles (deg): 90.00 90.00 90.00
Last column: magnetic moment on the atom in μB.
Element x y z (fractional)
1 Hg 0.5000 0.5000 0.5000  0.01
2 Pu 0.0000 0.0000 0.7814  5.36
3 Pt 0.5000 0.5000 0.0000  -0.09
4 Pu 0.0000 0.0000 0.2186  5.36

DOS(E_F) ... 3.9478 states/eV/atom
Total magnetization ... 11.20 μB per formula unit
ΔE to the lowest computed polymorph ... 0 meV/atom

Record 6
A plane-wave DFT calculation with PBE was carried out for CaNd2 after structural relaxation.

a b c (Å): 3.7459 3.7459 8.3631
angles (deg): 102.94 102.94 90.00
Element x y z (fractional)
1 Nd 0.3254 0.3254 0.6508
2 Ca 0.0000 0.0000 0.0000
3 Nd 0.6746 0.6746 0.3492

DOS(E_F) ... 1.1592 states/eV/atom
Total magnetization ... 0.00 μB per formula unit
ΔE to the lowest computed polymorph ... 0 meV/atom

Record 7
A plane-wave DFT calculation with PBE was carried out for SrY4Au after structural relaxation.

a b c (Å): 6.5379 6.5379 6.5379
angles (deg): 60.00 60.00 60.00
Element x y z (fractional)
1 Y 0.3758 0.3758 0.8725
2 Y 0.8725 0.3758 0.3758
3 Sr 0.0000 0.0000 0.0000
4 Y 0.3758 0.3758 0.3758
5 Au 0.7500 0.7500 0.7500
6 Y 0.3758 0.8725 0.3758

DOS(E_F) ... 1.5664 states/eV/atom
Total magnetization ... 0.00 μB per formula unit
Total energy ... -4.80 eV/atom

Record 8
A plane-wave DFT calculation with PBE was carried out for CeSnF after structural relaxation.

a b c (Å): 3.3740 3.3740 6.4706
angles (deg): 105.11 105.11 90.00
Last column: magnetic moment on the atom in μB.
Element x y z (fractional)
1 Ce 0.7183 0.7183 0.4365  0.83
2 F 0.2780 0.2780 0.5560  -0.01
3 Sn 0.0037 0.0037 0.0074  -0.02

DOS(E_F) ... 2.1150 states/eV/atom
Total magnetization ... 0.90 μB per formula unit
ΔE_f (raw) ... -1.670 eV/atom
ΔE to the lowest computed polymorph ... 161 meV/atom

Calculated density (Mg/m³), listed in the same order as above: 8.4; 5.4; 2.7; 11.3; 15.3; 4.9; 5.4; 6.7